No. 1
# TmZn3Au2

A relaxed TmZn3Au2 crystal (PBE, Alexandria via LeMat-Bulk).

Geometry as POSCAR:
```
TmZn3Au2
1.0
8.7771 -2.0680 0.0000
8.7771 2.0680 0.0000
-3.0812 0.0000 9.3397
Tm Zn Au
3 9 6
Direct
0.0000 0.0000 0.0000
0.1546 0.1546 0.7399
0.8454 0.8454 0.2601
0.0456 0.0456 0.3545
0.2019 0.2019 0.4156
0.3189 0.3189 0.0179
0.3771 0.3771 0.7826
0.5000 0.5000 0.5000
0.6229 0.6229 0.2174
0.6811 0.6811 0.9821
0.7981 0.7981 0.5844
0.9544 0.9544 0.6455
0.2060 0.2060 0.1531
0.3550 0.3550 0.4794
0.4651 0.4651 0.1972
0.5349 0.5349 0.8028
0.6450 0.6450 0.5206
0.7940 0.7940 0.8469
```

Output
* energy relative to the elements: -0.422 eV per atom
* V: 339 Å³/cell
* size of the total moment: 0.0 μB per cell


No. 2
# LiCr2In

A relaxed LiCr2In crystal (PBE, Alexandria via LeMat-Bulk).

Geometry as POSCAR:
```
LiCr2In
1.0
3.5246 0.0000 0.0000
0.0000 3.5246 0.0000
0.0000 0.0000 4.4466
Li Cr In
1 2 1
Direct
0.0000 0.0000 0.0000
0.0000 0.5000 0.5000
0.5000 0.0000 0.5000
0.5000 0.5000 0.0000
```

Output
* energy relative to the elements: 0.405 eV per atom
* V: 55 Å³/cell
* size of the total moment: 0.0 μB per cell


No. 3
# Na2NdErSe4

A relaxed Na2NdErSe4 crystal (PBE, Alexandria via LeMat-Bulk).

Geometry as POSCAR:
```
Na2NdErSe4
1.0
7.2757 0.0000 0.0000
0.0000 4.1998 0.0000
-2.4323 0.0000 7.0170
Na Nd Er Se
2 1 1 4
Direct
0.0000 0.0000 0.0000
0.5000 0.5000 0.0000
0.0000 0.5000 0.5000
0.5000 0.0000 0.5000
0.2541 0.0000 0.7339
0.2653 0.5000 0.2704
0.7347 0.5000 0.7296
0.7459 0.0000 0.2661
```

Output
* V: 214 Å³/cell
* formation energy without anion corrections: -1.688 eV/atom
* size of the total moment: 0.0 μB per cell


No. 4
# Ba2Sn7Pd12

A relaxed Ba2Sn7Pd12 crystal (PBE, Alexandria via LeMat-Bulk).

Geometry as POSCAR:
```
Ba2Sn7Pd12
1.0
10.8682 0.0000 0.0000
-5.4341 9.4122 0.0000
0.0000 0.0000 4.2951
Ba Sn Pd
2 7 12
Direct
0.3333 0.6667 0.2417
0.6667 0.3333 0.7583
0.0000 0.0000 0.5000
0.1073 0.7100 0.7378
0.2900 0.3973 0.7378
0.3973 0.1073 0.2622
0.6027 0.8927 0.7378
0.7100 0.6027 0.2622
0.8927 0.2900 0.2622
0.0576 0.4355 0.7556
0.1215 0.2561 0.2308
0.1347 0.8785 0.2308
0.2561 0.1347 0.7692
0.3779 0.9424 0.7556
0.4355 0.3779 0.2444
0.5645 0.6221 0.7556
0.6221 0.0576 0.2444
0.7439 0.8653 0.2308
0.8653 0.1215 0.7692
0.8785 0.7439 0.7692
0.9424 0.5645 0.2444
```

Output
* energy relative to the elements: -0.566 eV per atom
* V: 439 Å³/cell
* size of the total moment: 0.0 μB per cell


> The highest V belongs to which entry?

Ba2Sn7Pd12